The following is a PBE calculation of a relaxed structure of LuThTe2, from the Alexandria database.

As for the volume: 109.0 Å³/f.u. Its space-group type is Fm-3m (225). The crystal system is cubic. The total energy comes out at -5.57 eV/atom. The value obtained for the density of states at the Fermi level is 4.3 states/eV/cell. The excess energy over the best structure of this formula in the dataset comes out at 40 meV per atom.

a = 5.362 Å, b = 5.362 Å, c = 5.362 Å
α = 60.00°, β = 60.00°, γ = 60.00°
Positions (direct):
Te: 0.750 0.750 0.750
Te: 0.250 0.250 0.250
Th: 0.000 0.000 0.000
Lu: 0.500 0.500 0.500